Entry 1:
This record from the Alexandria database describes a relaxed KCl4 crystal. The functional is PBEsol.

The crystal system is tetragonal. The value obtained for the size of the total moment is 0.00 μB per cell. The calculation puts the energy at -12.80 eV per formula unit. The density is 1.82 g cm⁻³.

It has space group I4/m (No. 87), with a = 8.334 Å, b = 8.334 Å, c = 4.741 Å, α = 90.00°, β = 90.00° and γ = 90.00°. Symmetry generates all atoms from K at (0.000, 0.000, 0.000) and Cl at (0.232, 0.249, 0.500).

***

Entry 2:
This record from the Alexandria database describes a relaxed KCl3 crystal. The functional is PBEsol.

The crystal system is cubic. The value obtained for the size of the total moment is 0.00 μB per cell. The calculation puts the energy at -10.08 eV per formula unit. The density is 2.74 g cm⁻³.

It has space group Pm-3n (No. 223), with a = 5.609 Å, b = 5.609 Å, c = 5.609 Å, α = 90.00°, β = 90.00° and γ = 90.00°. Symmetry generates all atoms from K at (0.000, 0.000, 0.000) and Cl at (0.000, 0.250, 0.500).